No. 1
# Ac2AgSe3 (PBE, optimized geometry)
data_Ac2AgSe3
_chemical_formula_sum 'Ac2 Ag1 Se3'
_cell_length_a 4.121
_cell_length_b 4.940
_cell_length_c 9.202
_cell_angle_alpha 105.57
_cell_angle_beta 102.94
_cell_angle_gamma 90.00
_space_group_name_H-M_alt 'P 1'
_space_group_IT_number 1
loop_
_space_group_symop_operation_xyz
'x,y,z'
loop_
_atom_site_label
_atom_site_fract_x
_atom_site_fract_y
_atom_site_fract_z
Se1 0.000 0.500 0.000
Se2 0.824 0.824 0.647
Se3 0.176 0.176 0.353
Ag1 0.000 0.000 0.000
Ac1 0.642 0.642 0.283
Ac2 0.358 0.358 0.717
# Spin magnetization (μB/f.u.): 0.00
# SG: Immm (71)
# Formation energy from raw total energies (eV/atom): -1.48



No. 2
# InCuP2S (PBE, optimized geometry)
data_InCuP2S
_chemical_formula_sum 'In1 Cu1 P2 S1'
_cell_length_a 4.508
_cell_length_b 4.508
_cell_length_c 4.802
_cell_angle_alpha 90.00
_cell_angle_beta 90.00
_cell_angle_gamma 90.00
_space_group_name_H-M_alt 'P 1'
_space_group_IT_number 1
loop_
_space_group_symop_operation_xyz
'x,y,z'
loop_
_atom_site_label
_atom_site_fract_x
_atom_site_fract_y
_atom_site_fract_z
P1 0.500 0.000 0.000
P2 0.000 0.500 0.000
In1 0.500 0.500 0.500
S1 0.000 0.000 0.500
Cu1 0.000 0.000 0.000
# E above lowest polymorph (kJ per mole of atoms): 0.0
# Spin magnetization (μB/f.u.): 0.19
# SG: P4/mmm (123)
# Formation energy from raw total energies (eV/atom): 0.62



No. 3
# InTc2Cl (PBE, optimized geometry)
data_InTc2Cl
_chemical_formula_sum 'In1 Tc2 Cl1'
_cell_length_a 10.299
_cell_length_b 10.299
_cell_length_c 10.299
_cell_angle_alpha 16.48
_cell_angle_beta 16.48
_cell_angle_gamma 16.48
_space_group_name_H-M_alt 'P 1'
_space_group_IT_number 1
loop_
_space_group_symop_operation_xyz
'x,y,z'
loop_
_atom_site_label
_atom_site_fract_x
_atom_site_fract_y
_atom_site_fract_z
In1 0.733 0.733 0.733
Tc1 0.987 0.987 0.987
Tc2 0.254 0.254 0.254
Cl1 0.526 0.526 0.526
# E above lowest polymorph (kJ per mole of atoms): 17.9
# Spin magnetization (μB/f.u.): 0.00
# SG: R3m (160)
# Formation energy from raw total energies (eV/atom): 0.16



No. 4
# InCuBi2H (PBE, optimized geometry)
data_InCuBi2H
_chemical_formula_sum 'In1 Cu1 Bi2 H1'
_cell_length_a 5.705
_cell_length_b 5.705
_cell_length_c 3.358
_cell_angle_alpha 90.00
_cell_angle_beta 90.00
_cell_angle_gamma 90.00
_space_group_name_H-M_alt 'P 1'
_space_group_IT_number 1
loop_
_space_group_symop_operation_xyz
'x,y,z'
loop_
_atom_site_label
_atom_site_fract_x
_atom_site_fract_y
_atom_site_fract_z
In1 0.500 0.500 0.500
Bi1 0.000 0.500 0.000
Bi2 0.500 0.000 0.000
H1 0.000 0.000 0.500
Cu1 0.000 0.000 0.000
# Spin magnetization (μB/f.u.): 0.00
# SG: P4/mmm (123)
# Total DFT energy (no corrections) (eV per atom): -3.401



No. 5
# BrCl3F (PBE, optimized geometry)
data_BrCl3F
_chemical_formula_sum 'Br1 Cl3 F1'
_cell_length_a 4.818
_cell_length_b 4.818
_cell_length_c 4.818
_cell_angle_alpha 90.00
_cell_angle_beta 90.00
_cell_angle_gamma 90.00
_space_group_name_H-M_alt 'P 1'
_space_group_IT_number 1
loop_
_space_group_symop_operation_xyz
'x,y,z'
loop_
_atom_site_label
_atom_site_fract_x
_atom_site_fract_y
_atom_site_fract_z
Cl1 0.000 0.000 0.500
Cl2 0.000 0.500 0.000
Cl3 0.500 0.000 0.000
F1 0.000 0.000 0.000
Br1 0.500 0.500 0.500
# E above lowest polymorph (kJ per mole of atoms): 81.7
# Spin magnetization (μB/f.u.): 2.78
# SG: Pm-3m (221)
# Formation energy from raw total energies (eV/atom): 0.69



No. 6
# TmZr2Os (PBE, optimized geometry)
data_TmZr2Os
_chemical_formula_sum 'Tm1 Zr2 Os1'
_cell_length_a 4.857
_cell_length_b 4.857
_cell_length_c 4.857
_cell_angle_alpha 60.00
_cell_angle_beta 60.00
_cell_angle_gamma 60.00
_space_group_name_H-M_alt 'P 1'
_space_group_IT_number 1
loop_
_space_group_symop_operation_xyz
'x,y,z'
loop_
_atom_site_label
_atom_site_fract_x
_atom_site_fract_y
_atom_site_fract_z
Zr1 0.250 0.250 0.250
Zr2 0.750 0.750 0.750
Os1 0.500 0.500 0.500
Tm1 0.000 0.000 0.000
# E above lowest polymorph (kJ per mole of atoms): 17.3
# Calculated formation energy (kJ/mol of atoms): -4.2
# Spin magnetization (μB/f.u.): 0.00
# SG: Fm-3m (225)



No. 7
# Tb5Pr4Er (PBE, optimized geometry)
data_Tb5Pr4Er
_chemical_formula_sum 'Tb5 Pr4 Er1'
_cell_length_a 6.047
_cell_length_b 8.149
_cell_length_c 8.149
_cell_angle_alpha 82.09
_cell_angle_beta 68.22
_cell_angle_gamma 68.22
_space_group_name_H-M_alt 'P 1'
_space_group_IT_number 1
loop_
_space_group_symop_operation_xyz
'x,y,z'
loop_
_atom_site_label
_atom_site_fract_x
_atom_site_fract_y
_atom_site_fract_z
Tb1 0.769 0.000 0.376
Tb2 0.146 0.000 0.624
Tb3 0.769 0.376 0.000
Tb4 0.692 0.000 0.000
Tb5 0.146 0.624 0.000
Er1 0.217 0.000 0.000
Pr1 0.120 0.323 0.323
Pr2 0.443 0.323 0.677
Pr3 0.443 0.677 0.323
Pr4 0.766 0.677 0.677
# E above lowest polymorph (kJ per mole of atoms): 4.2
# Calculated formation energy (kJ/mol of atoms): 22.0
# Spin magnetization (μB/f.u.): 0.00
# SG: I4mm (107)



No. 8
# Ac4Tl7Pb (PBE, optimized geometry)
data_Ac4Tl7Pb
_chemical_formula_sum 'Ac4 Tl7 Pb1'
_cell_length_a 5.911
_cell_length_b 10.898
_cell_length_c 7.652
_cell_angle_alpha 81.79
_cell_angle_beta 67.28
_cell_angle_gamma 74.26
_space_group_name_H-M_alt 'P 1'
_space_group_IT_number 1
loop_
_space_group_symop_operation_xyz
'x,y,z'
loop_
_atom_site_label
_atom_site_fract_x
_atom_site_fract_y
_atom_site_fract_z
Ac1 0.590 0.222 0.599
Ac2 0.734 0.671 0.861
Ac3 0.410 0.778 0.401
Ac4 0.266 0.329 0.139
Tl1 0.628 0.473 0.272
Tl2 0.785 0.912 0.517
Tl3 0.500 0.000 0.000
Tl4 0.081 0.679 0.159
Tl5 0.372 0.527 0.728
Tl6 0.215 0.088 0.483
Tl7 0.919 0.321 0.841
Pb1 0.000 0.000 0.000
# Calculated formation energy (kJ/mol of atoms): -12.1
# Spin magnetization (μB/f.u.): 0.00
# SG: C2/m (12)



Q: Among the records above, which one has the highest spin magnetization?
A: BrCl3F



What did the fourth record say?
# InCuBi2H (PBE, optimized geometry)
data_InCuBi2H
_chemical_formula_sum 'In1 Cu1 Bi2 H1'
_cell_length_a 5.705
_cell_length_b 5.705
_cell_length_c 3.358
_cell_angle_alpha 90.00
_cell_angle_beta 90.00
_cell_angle_gamma 90.00
_space_group_name_H-M_alt 'P 1'
_space_group_IT_number 1
loop_
_space_group_symop_operation_xyz
'x,y,z'
loop_
_atom_site_label
_atom_site_fract_x
_atom_site_fract_y
_atom_site_fract_z
In1 0.500 0.500 0.500
Bi1 0.000 0.500 0.000
Bi2 0.500 0.000 0.000
H1 0.000 0.000 0.500
Cu1 0.000 0.000 0.000
# Spin magnetization (μB/f.u.): 0.00
# SG: P4/mmm (123)
# Total DFT energy (no corrections) (eV per atom): -3.401



Q: Look up the spin magnetization of the fourth one.
A: 0.00 μB/f.u.